BaSr4Cd: relaxed, PBE-GGA.

Calculated values
The value obtained for the density of states at the Fermi level is 9.16 states/eV/f.u. For the size of the total moment, the calculation gives 0.001 μB/cell. For the energy of formation from the pure elements, the calculation gives 0.112 eV/atom.

abc: 5.6185 5.6185 11.0211
angles: 90.00 90.00 90.00
Fractional coordinates of all 6 atoms:
Sr1 0.0000 0.5000 0.6831
Sr2 0.0000 0.5000 0.3169
Cd1 0.5000 0.5000 0.5000
Sr3 0.5000 0.0000 0.3169
Ba1 0.0000 0.0000 0.0000
Sr4 0.5000 0.0000 0.6831

=====

Ba3SrCd4: relaxed, PBE-GGA.

Calculated values
The value obtained for the density of states at the Fermi level is 5.59 states/eV/f.u. For the size of the total moment, the calculation gives 0.000 μB/cell. For the energy of formation from the pure elements, the calculation gives -0.321 eV/atom.

abc: 4.2323 4.2323 16.6830
angles: 90.00 90.00 90.00
Fractional coordinates of all 8 atoms:
Ba1 0.5000 0.5000 0.2436
Cd1 0.0000 0.0000 0.1132
Cd2 0.0000 0.0000 0.8868
Ba2 0.5000 0.5000 0.5000
Sr1 0.5000 0.5000 0.0000
Ba3 0.5000 0.5000 0.7564
Cd3 0.0000 0.0000 0.6272
Cd4 0.0000 0.0000 0.3728

=====

BaSr2Cd: relaxed, PBE-GGA.

Calculated values
The value obtained for the density of states at the Fermi level is 5.57 states/eV/f.u. For the size of the total moment, the calculation gives 0.005 μB/cell. For the energy of formation from the pure elements, the calculation gives -0.010 eV/atom.

abc: 7.1379 7.1379 7.1379
angles: 134.54 134.54 66.24
Fractional coordinates of all 4 atoms:
Cd1 0.7500 0.2500 0.5000
Sr1 0.0000 0.0000 0.0000
Sr2 0.5000 0.5000 0.0000
Ba1 0.2500 0.7500 0.5000

=====

Ba5Sr2Cd: relaxed, PBE-GGA.

Calculated values
The value obtained for the density of states at the Fermi level is 11.59 states/eV/f.u. For the size of the total moment, the calculation gives 0.000 μB/cell. For the energy of formation from the pure elements, the calculation gives -0.055 eV/atom.

abc: 4.3401 10.5064 19.3115
angles: 90.00 90.00 90.00
Fractional coordinates of all 16 atoms:
Ba1 0.5000 0.6961 0.1081
Ba2 0.0000 0.9946 0.7751
Sr1 0.5000 0.8113 0.3937
Ba3 0.5000 0.1961 0.3919
Cd1 0.0000 0.0000 0.5000
Ba4 0.5000 0.3039 0.8919
Cd2 0.0000 0.5000 0.0000
Ba5 0.0000 0.5000 0.5000
Ba6 0.0000 0.0054 0.2249
Ba7 0.0000 0.5054 0.2751
Sr2 0.5000 0.1887 0.6063
Ba8 0.0000 0.4946 0.7249
Sr3 0.5000 0.3113 0.1063
Ba9 0.0000 0.0000 0.0000
Ba10 0.5000 0.8039 0.6081
Sr4 0.5000 0.6887 0.8937

=====

Ba2Sr3Cd3: relaxed, PBE-GGA.

Calculated values
The value obtained for the density of states at the Fermi level is 8.96 states/eV/f.u. For the size of the total moment, the calculation gives 0.000 μB/cell. For the energy of formation from the pure elements, the calculation gives -0.200 eV/atom.

abc: 4.1904 5.9372 13.4613
angles: 102.74 98.95 90.00
Fractional coordinates of all 8 atoms:
Cd1 0.1072 0.1072 0.2145
Cd2 0.8928 0.8928 0.7855
Cd3 0.0000 0.5000 0.0000
Ba1 0.2832 0.7832 0.5665
Ba2 0.7168 0.2168 0.4335
Sr1 0.6096 0.6096 0.2192
Sr2 0.5000 0.0000 0.0000
Sr3 0.3904 0.3904 0.7808

=====

BaSr2Cd: relaxed, PBE-GGA.

Calculated values
The value obtained for the density of states at the Fermi level is 4.47 states/eV/f.u. For the size of the total moment, the calculation gives 0.000 μB/cell. For the energy of formation from the pure elements, the calculation gives -0.141 eV/atom.

abc: 7.7486 7.7486 6.4335
angles: 65.46 65.46 32.24
Fractional coordinates of all 4 atoms:
Sr1 0.5506 0.5506 0.4494
Ba1 0.7500 0.7500 0.7500
Cd1 0.2500 0.2500 0.2500
Sr2 0.9494 0.9494 0.0506

=====

Ba2Sr2Cd: relaxed, PBE-GGA.

Calculated values
The value obtained for the density of states at the Fermi level is 5.83 states/eV/f.u. For the size of the total moment, the calculation gives 0.000 μB/cell. For the energy of formation from the pure elements, the calculation gives -0.133 eV/atom.

abc: 4.3132 4.3132 13.8653
angles: 98.95 98.95 90.00
Fractional coordinates of all 5 atoms:
Ba1 0.5750 0.5750 0.1501
Cd1 0.0000 0.0000 0.0000
Ba2 0.4250 0.4250 0.8499
Sr1 0.8052 0.8052 0.6104
Sr2 0.1948 0.1948 0.3896

=====

Ba2Sr3Cd2: relaxed, PBE-GGA.

Calculated values
The value obtained for the density of states at the Fermi level is 8.30 states/eV/f.u. For the size of the total moment, the calculation gives 0.000 μB/cell. For the energy of formation from the pure elements, the calculation gives -0.176 eV/atom.

abc: 4.2143 4.1753 18.3845
angles: 90.00 96.58 90.00
Fractional coordinates of all 7 atoms:
Sr1 0.0000 0.0000 0.0000
Ba1 0.3051 0.5000 0.6102
Sr2 0.5857 0.5000 0.1713
Ba2 0.6949 0.5000 0.3898
Cd1 0.8631 0.0000 0.7263
Cd2 0.1369 0.0000 0.2737
Sr3 0.4143 0.5000 0.8287

=====

BaSrCd: relaxed, PBE-GGA.

Calculated values
The value obtained for the density of states at the Fermi level is 3.78 states/eV/f.u. For the size of the total moment, the calculation gives 0.000 μB/cell. For the energy of formation from the pure elements, the calculation gives -0.228 eV/atom.

abc: 7.9766 7.9771 4.2027
angles: 74.72 74.73 30.55
Fractional coordinates of all 3 atoms:
Cd1 0.6728 0.6728 0.3272
Sr1 0.2987 0.2987 0.7013
Ba1 0.0284 0.0284 0.9716

=====

BaSrCd: relaxed, PBE-GGA.

Calculated values
The value obtained for the density of states at the Fermi level is 4.52 states/eV/f.u. For the size of the total moment, the calculation gives 0.000 μB/cell. For the energy of formation from the pure elements, the calculation gives -0.085 eV/atom.

abc: 5.8726 5.8726 4.4556
angles: 90.00 90.00 120.00
Fractional coordinates of all 3 atoms:
Ba1 0.0000 0.0000 0.0162
Cd1 0.3333 0.6667 0.4549
Sr1 0.6667 0.3333 0.5289

=====

BaSr2Cd: relaxed, PBE-GGA.

Calculated values
The value obtained for the density of states at the Fermi level is 4.93 states/eV/f.u. For the size of the total moment, the calculation gives 0.000 μB/cell. For the energy of formation from the pure elements, the calculation gives -0.076 eV/atom.

abc: 4.3452 4.3452 12.2648
angles: 79.80 79.80 60.00
Fractional coordinates of all 4 atoms:
Cd1 0.6665 0.6665 0.0004
Sr1 0.0654 0.0654 0.8038
Ba1 0.5003 0.5003 0.4991
Sr2 0.2678 0.2678 0.1967

=====

BaSr4Cd: relaxed, PBE-GGA.

Calculated values
The value obtained for the density of states at the Fermi level is 5.77 states/eV/f.u. For the size of the total moment, the calculation gives 0.000 μB/cell. For the energy of formation from the pure elements, the calculation gives 0.211 eV/atom.

abc: 7.7472 7.7472 7.7472
angles: 60.00 60.00 60.00
Fractional coordinates of all 6 atoms:
Ba1 0.7500 0.7500 0.7500
Sr1 0.3748 0.3748 0.8758
Sr2 0.3748 0.8758 0.3748
Sr3 0.8758 0.3748 0.3748
Cd1 0.0000 0.0000 0.0000
Sr4 0.3748 0.3748 0.3748

=====

BaSr4Cd: relaxed, PBE-GGA.

Calculated values
The value obtained for the density of states at the Fermi level is 6.71 states/eV/f.u. For the size of the total moment, the calculation gives 0.000 μB/cell. For the energy of formation from the pure elements, the calculation gives -0.102 eV/atom.

abc: 4.1990 4.1990 16.6764
angles: 90.00 90.00 90.00
Fractional coordinates of all 6 atoms:
Sr1 0.5000 0.5000 0.8024
Sr2 0.0000 0.0000 0.6150
Sr3 0.0000 0.0000 0.3850
Ba1 0.0000 0.0000 0.0000
Sr4 0.5000 0.5000 0.1976
Cd1 0.5000 0.5000 0.5000

=====

BaSrCd: relaxed, PBE-GGA.

Calculated values
The value obtained for the density of states at the Fermi level is 4.47 states/eV/f.u. For the size of the total moment, the calculation gives 0.000 μB/cell. For the energy of formation from the pure elements, the calculation gives -0.110 eV/atom.

abc: 8.2710 8.2710 10.1628
angles: 114.14 114.16 89.69
Fractional coordinates of all 12 atoms:
Ba1 0.1626 0.5877 0.2503
Sr1 0.4133 0.3383 0.7516
Sr2 0.6633 0.0883 0.2516
Cd1 0.5431 0.9682 0.5000
Sr3 0.6617 0.5867 0.2484
Ba2 0.4123 0.8374 0.7497
Cd2 0.2931 0.2181 0.0000
Ba3 0.1623 0.0874 0.2497
Ba4 0.9126 0.8377 0.7503
Cd3 0.0319 0.4569 0.5000
Cd4 0.7818 0.7069 0.0000
Sr4 0.9117 0.3367 0.7484

=====

Ba2Sr6Cd: relaxed, PBE-GGA.

Calculated values
The value obtained for the density of states at the Fermi level is 14.19 states/eV/f.u. For the size of the total moment, the calculation gives 0.000 μB/cell. For the energy of formation from the pure elements, the calculation gives -0.023 eV/atom.

abc: 4.4028 11.1252 11.1378
angles: 119.96 90.00 90.00
Fractional coordinates of all 9 atoms:
Sr1 0.5000 0.6128 0.0000
Sr2 0.5000 0.0062 0.6509
Sr3 0.5000 0.3553 0.3491
Cd1 0.5000 0.0162 0.0000
Sr4 0.0000 0.2633 0.0000
Sr5 0.0000 0.7549 0.7662
Sr6 0.0000 0.9886 0.2338
Ba1 0.0000 0.3268 0.6509
Ba2 0.0000 0.6759 0.3491

=====

Ba4SrCd5: relaxed, PBE-GGA.

Calculated values
The value obtained for the density of states at the Fermi level is 6.90 states/eV/f.u. For the size of the total moment, the calculation gives 0.000 μB/cell. For the energy of formation from the pure elements, the calculation gives -0.323 eV/atom.

abc: 4.2050 4.2050 21.2577
angles: 90.00 90.00 90.00
Fractional coordinates of all 10 atoms:
Cd1 0.5000 0.5000 0.2964
Cd2 0.5000 0.5000 0.0912
Cd3 0.5000 0.5000 0.9088
Ba1 0.0000 0.0000 0.8060
Sr1 0.0000 0.0000 0.0000
Ba2 0.0000 0.0000 0.1940
Cd4 0.5000 0.5000 0.5000
Ba3 0.0000 0.0000 0.6016
Ba4 0.0000 0.0000 0.3984
Cd5 0.5000 0.5000 0.7036

=====

Ba2SrCd6: relaxed, PBE-GGA.

Calculated values
The value obtained for the density of states at the Fermi level is 5.36 states/eV/f.u. For the size of the total moment, the calculation gives 0.000 μB/cell. For the energy of formation from the pure elements, the calculation gives -0.328 eV/atom.

abc: 4.2621 8.9473 8.9473
angles: 120.00 90.00 90.00
Fractional coordinates of all 9 atoms:
Ba1 0.0000 0.6667 0.3333
Sr1 0.0000 0.0000 0.0000
Cd1 0.5000 0.6708 0.0000
Cd2 0.5000 0.6708 0.6708
Cd3 0.5000 0.0000 0.6708
Ba2 0.0000 0.3333 0.6667
Cd4 0.5000 0.0000 0.3292
Cd5 0.5000 0.3292 0.0000
Cd6 0.5000 0.3292 0.3292

=====

BaSr4Cd2: relaxed, PBE-GGA.

Calculated values
The value obtained for the density of states at the Fermi level is 8.82 states/eV/f.u. For the size of the total moment, the calculation gives 0.001 μB/cell. For the energy of formation from the pure elements, the calculation gives -0.154 eV/atom.

abc: 7.5227 9.6957 9.3911
angles: 111.83 90.00 90.00
Fractional coordinates of all 14 atoms:
Sr1 0.7500 0.0198 0.3956
Sr2 0.0012 0.5821 0.2370
Sr3 0.9988 0.4179 0.7630
Sr4 0.7500 0.7430 0.6557
Ba1 0.2500 0.8489 0.9928
Sr5 0.2500 0.9802 0.6044
Cd1 0.2500 0.6199 0.5818
Ba2 0.7500 0.1511 0.0072
Cd2 0.2500 0.2580 0.9784
Cd3 0.7500 0.7420 0.0216
Sr6 0.4988 0.5821 0.2370
Sr7 0.5012 0.4179 0.7630
Cd4 0.7500 0.3801 0.4182
Sr8 0.2500 0.2570 0.3443

=====

BaSr2Cd: relaxed, PBE-GGA.

Calculated values
The value obtained for the density of states at the Fermi level is 4.48 states/eV/f.u. For the size of the total moment, the calculation gives 0.000 μB/cell. For the energy of formation from the pure elements, the calculation gives -0.078 eV/atom.

abc: 12.2789 12.2789 12.2789
angles: 20.51 20.51 20.51
Fractional coordinates of all 4 atoms:
Sr1 0.0192 0.0192 0.0192
Ba1 0.2500 0.2500 0.2500
Cd1 0.7500 0.7500 0.7500
Sr2 0.4808 0.4808 0.4808

=====

Ba2Sr2Cd: relaxed, PBE-GGA.

Calculated values
The value obtained for the density of states at the Fermi level is 8.17 states/eV/f.u. For the size of the total moment, the calculation gives 0.001 μB/cell. For the energy of formation from the pure elements, the calculation gives 0.079 eV/atom.

abc: 8.9990 8.9990 6.7216
angles: 90.00 90.00 90.00
Fractional coordinates of all 10 atoms:
Sr1 0.8332 0.3332 0.5000
Ba1 0.3461 0.8461 0.0000
Sr2 0.1668 0.6668 0.5000
Cd1 0.0000 0.0000 0.0000
Ba2 0.1539 0.3461 0.0000
Sr3 0.3332 0.1668 0.5000
Ba3 0.8461 0.6539 0.0000
Ba4 0.6539 0.1539 0.0000
Sr4 0.6668 0.8332 0.5000
Cd2 0.5000 0.5000 0.0000

=====

Ba3Sr3Cd4: relaxed, PBE-GGA.

Calculated values
The value obtained for the density of states at the Fermi level is 11.73 states/eV/f.u. For the size of the total moment, the calculation gives 0.000 μB/cell. For the energy of formation from the pure elements, the calculation gives -0.244 eV/atom.

abc: 4.6826 9.4760 9.4760
angles: 90.65 90.00 90.00
Fractional coordinates of all 10 atoms:
Cd1 0.0000 0.8786 0.8657
Ba1 0.5000 0.6565 0.6613
Cd2 0.0000 0.1343 0.1214
Ba2 0.5000 0.8441 0.1559
Ba3 0.5000 0.3387 0.3435
Sr1 0.0000 0.9997 0.5051
Cd3 0.0000 0.3593 0.6407
Sr2 0.5000 0.1612 0.8388
Cd4 0.0000 0.6329 0.3671
Sr3 0.0000 0.4949 0.0003

=====

BaSr2Cd3: relaxed, PBE-GGA.

Calculated values
The value obtained for the density of states at the Fermi level is 4.50 states/eV/f.u. For the size of the total moment, the calculation gives 0.000 μB/cell. For the energy of formation from the pure elements, the calculation gives -0.326 eV/atom.

abc: 4.1261 4.1261 12.3698
angles: 90.00 90.00 90.00
Fractional coordinates of all 6 atoms:
Cd1 0.0000 0.0000 0.3201
Cd2 0.0000 0.0000 0.6799
Sr1 0.5000 0.5000 0.8395
Sr2 0.5000 0.5000 0.1605
Cd3 0.0000 0.0000 0.0000
Ba1 0.5000 0.5000 0.5000

=====

Ba7SrCd4: relaxed, PBE-GGA.

Calculated values
The value obtained for the density of states at the Fermi level is 16.90 states/eV/f.u. For the size of the total moment, the calculation gives 0.003 μB/cell. For the energy of formation from the pure elements, the calculation gives -0.083 eV/atom.

abc: 6.6151 10.7253 8.7894
angles: 77.90 67.89 72.04
Fractional coordinates of all 12 atoms:
Cd1 0.6815 0.6675 0.9696
Sr1 0.0000 0.0000 0.0000
Ba1 0.2241 0.1142 0.4375
Ba2 0.7759 0.8858 0.5625
Cd2 0.3185 0.3325 0.0304
Ba3 0.0715 0.6174 0.2397
Ba4 0.6863 0.3691 0.2583
Ba5 0.5000 0.0000 0.0000
Cd3 0.4535 0.7655 0.3275
Cd4 0.5465 0.2345 0.6725
Ba6 0.9285 0.3826 0.7603
Ba7 0.3137 0.6309 0.7417

=====

BaSr2Cd: relaxed, PBE-GGA.

Calculated values
The value obtained for the density of states at the Fermi level is 6.20 states/eV/f.u. For the size of the total moment, the calculation gives 0.000 μB/cell. For the energy of formation from the pure elements, the calculation gives -0.045 eV/atom.

abc: 5.4453 5.4453 6.0573
angles: 90.00 90.00 90.00
Fractional coordinates of all 4 atoms:
Sr1 0.5000 0.5000 0.0000
Ba1 0.5000 0.0000 0.5000
Cd1 0.0000 0.5000 0.5000
Sr2 0.0000 0.0000 0.0000

=====

BaSr2Cd: relaxed, PBE-GGA.

Calculated values
The value obtained for the density of states at the Fermi level is 2.86 states/eV/f.u. For the size of the total moment, the calculation gives 0.000 μB/cell. For the energy of formation from the pure elements, the calculation gives -0.034 eV/atom.

abc: 6.2889 6.2889 6.2889
angles: 60.00 60.00 60.00
Fractional coordinates of all 4 atoms:
Sr1 0.2500 0.2500 0.2500
Cd1 0.7500 0.7500 0.7500
Sr2 0.0000 0.0000 0.0000
Ba1 0.5000 0.5000 0.5000

=====

BaSr2Cd: relaxed, PBE-GGA.

Calculated values
The value obtained for the density of states at the Fermi level is 5.61 states/eV/f.u. For the size of the total moment, the calculation gives 0.000 μB/cell. For the energy of formation from the pure elements, the calculation gives -0.102 eV/atom.

abc: 7.6542 7.6542 6.4080
angles: 65.23 65.23 33.12
Fractional coordinates of all 4 atoms:
Cd1 0.2545 0.2545 0.2433
Sr1 0.9535 0.9535 0.0475
Ba1 0.5441 0.5441 0.4568
Sr2 0.7478 0.7478 0.7524